# PBE CrGaAgPt2, relaxed
# E_form = 0.6188 eV/atom
# N(E_F) = 3.339 states/eV per cell
# energy = -24.489 eV/f.u.
data_CrGaAgPt2
_cell_length_a 4.6365
_cell_length_b 4.6365
_cell_length_c 4.7171
_cell_angle_alpha 90.00
_cell_angle_beta 90.00
_cell_angle_gamma 90.00
_space_group_name_H-M_alt 'P 4/m m m'
_space_group_IT_number 123
_space_group_name_Hall '-P 4 2'
loop_
_atom_site_label
_atom_site_type_symbol
_atom_site_fract_x
_atom_site_fract_y
_atom_site_fract_z
_atom_site_occupancy
Cr1 Cr 0.0000 0.0000 0.0000 1
Ga1 Ga 0.0000 0.0000 0.5000 1
Ag1 Ag 0.5000 0.5000 0.0000 1
Pt1 Pt 0.0000 0.5000 0.5000 1



# PBE Al2PdPt, relaxed
# E_form = -0.9113 eV/atom
# N(E_F) = 1.989 states/eV per cell
# energy = -22.364 eV/f.u.
data_Al2PdPt
_cell_length_a 3.1451
_cell_length_b 4.3257
_cell_length_c 8.8402
_cell_angle_alpha 94.61
_cell_angle_beta 100.12
_cell_angle_gamma 90.05
_space_group_name_H-M_alt 'P -1'
_space_group_IT_number 2
_space_group_name_Hall '-P 1'
loop_
_atom_site_label
_atom_site_type_symbol
_atom_site_fract_x
_atom_site_fract_y
_atom_site_fract_z
_atom_site_occupancy
Al1 Al 0.0619 0.3063 0.1232 1
Al2 Al 0.1845 0.8695 0.3702 1
Pd1 Pd 0.3169 0.6340 0.6339 1
Pt1 Pt 0.4354 0.1857 0.8709 1